No. 1
# PrGa3Au

An optimized crystal structure of PrGa3Au (GGA-PBE, the Alexandria database).

Cell: 4.3513 4.3513 6.2662 Å, 69.68 69.68 90.00°
With the nearest neighbours (Å) after each atom.
Fractional positions:
Pr 0.9858 0.9858 0.0283  12 Ga 3.24-3.61, 4 Au 3.42
Ga 0.2503 0.7503 0.4995  2 Au 2.59, 2 Ga 2.67
Ga 0.7503 0.2503 0.4995  2 Au 2.59, 2 Ga 2.67
Ga 0.3920 0.3920 0.2160  1 Au 2.51, 4 Ga 2.67
Au 0.6216 0.6216 0.7568  5 Ga 2.51-2.59

Properties
The total energy is -4.040 eV/atom. The energy above the most stable polymorph in this dataset is 0 kJ/mol of formula units. The density of states at the Fermi level is 1.35 states/eV per cell. The calculation puts the calculated density at 8.79 g cm⁻³. Its space group is No. 107.

No. 2
# Pr2Ga12Au

An optimized crystal structure of Pr2Ga12Au (GGA-PBE, the Alexandria database).

Cell: 6.2764 6.2764 15.4463 Å, 90.00 90.00 90.00°
With the nearest neighbours (Å) after each atom.
Fractional positions:
Ga 0.6707 0.1707 0.4308  3 Ga 2.56-2.67
Ga 0.5000 0.5000 0.6540  5 Ga 2.49-2.67
Ga 0.0000 0.0000 0.1851  5 Ga 2.49-2.64
Ga 0.7502 0.7498 0.9072  3 Ga 2.64-2.87, 2 Au 2.64
Pr 0.5000 0.0000 0.2486  14 Ga 3.20-3.48
Ga 0.2502 0.2498 0.0928  3 Ga 2.64-2.87, 2 Au 2.64
Ga 0.6707 0.8293 0.5692  3 Ga 2.56-2.67
Ga 0.1707 0.6707 0.5692  3 Ga 2.56-2.67
Ga 0.8293 0.3293 0.5692  3 Ga 2.56-2.67
Ga 0.8293 0.6707 0.4308  3 Ga 2.56-2.67
Ga 0.2498 0.7498 0.0928  3 Ga 2.64-2.87, 2 Au 2.64
Ga 0.5000 0.5000 0.1851  5 Ga 2.49-2.64
Ga 0.3293 0.8293 0.4308  3 Ga 2.56-2.67
Ga 0.3293 0.1707 0.5692  3 Ga 2.56-2.67
Au 0.0000 0.5000 0.0000  8 Ga 2.64
Ga 0.0000 0.0000 0.3460  5 Ga 2.49-2.67
Ga 0.7502 0.2502 0.0928  3 Ga 2.64-2.87, 2 Au 2.64
Ga 0.7498 0.7502 0.0928  3 Ga 2.64-2.87, 2 Au 2.64
Ga 0.0000 0.0000 0.6540  5 Ga 2.49-2.67
Ga 0.0000 0.0000 0.8149  5 Ga 2.49-2.64
Ga 0.5000 0.5000 0.8149  5 Ga 2.49-2.64
Pr 0.0000 0.5000 0.7514  14 Ga 3.20-3.48
Ga 0.7498 0.2498 0.9072  3 Ga 2.64-2.87, 2 Au 2.64
Ga 0.1707 0.3293 0.4308  3 Ga 2.56-2.67
Au 0.5000 0.0000 0.0000  8 Ga 2.64
Ga 0.2498 0.2502 0.9072  3 Ga 2.64-2.87, 2 Au 2.64
Ga 0.5000 0.5000 0.3460  5 Ga 2.49-2.67
Pr 0.5000 0.0000 0.7514  14 Ga 3.20-3.48
Ga 0.2502 0.7502 0.9072  3 Ga 2.64-2.87, 2 Au 2.64
Pr 0.0000 0.5000 0.2486  14 Ga 3.20-3.48

Properties
The total energy is -3.640 eV/atom. The density of states at the Fermi level is 11.61 states/eV per cell. The calculation puts the calculated density at 7.18 g cm⁻³. Its space group is No. 125.

No. 3
# PrGa4Au

An optimized crystal structure of PrGa4Au (GGA-PBE, the Alexandria database).

Cell: 5.5733 5.5733 5.5733 Å, 60.00 60.00 60.00°
With the nearest neighbours (Å) after each atom.
Fractional positions:
Ga 0.6248 0.6248 0.1255  6 Ga 2.78-2.79
Ga 0.6248 0.6248 0.6248  6 Ga 2.78-2.79
Ga 0.6248 0.1255 0.6248  6 Ga 2.78-2.79
Au 0.0000 0.0000 0.0000  12 Ga 3.27, 4 Pr 3.41
Ga 0.1255 0.6248 0.6248  6 Ga 2.78-2.79
Pr 0.2500 0.2500 0.2500  12 Ga 3.27, 4 Au 3.41

Properties
The total energy is -3.624 eV/atom. The density of states at the Fermi level is 2.23 states/eV per cell. The calculation puts the calculated density at 8.37 g cm⁻³. Its space group is No. 216.

No. 4
# PrGaAu11

An optimized crystal structure of PrGaAu11 (GGA-PBE, the Alexandria database).

Cell: 5.5185 7.1728 7.2920 Å, 83.30 67.77 72.03°
With the nearest neighbours (Å) after each atom.
Fractional positions:
Au 0.0315 0.3486 0.6487  9 Au 2.82-3.16, 1 Ga 3.06
Au 0.6802 0.3486 0.3513  9 Au 2.82-3.16, 1 Ga 3.06
Au 0.6811 0.7817 0.7903  1 Ga 2.61, 3 Au 2.79-2.85
Ga 0.5000 0.5000 0.0000  6 Au 2.61-2.76
Au 0.4713 0.7817 0.2097  1 Ga 2.61, 3 Au 2.79-2.85
Au 0.3189 0.2183 0.2097  1 Ga 2.61, 3 Au 2.79-2.85
Pr 0.0000 0.0000 0.0000  18 Au 3.36-3.65
Au 0.5000 0.0000 0.5000  10 Au 2.76-2.94
Au 0.3198 0.6514 0.6487  9 Au 2.82-3.16, 1 Ga 3.06
Au 0.0000 0.5000 0.0000  2 Ga 2.76, 8 Au 2.82-2.94
Au 0.0000 0.0000 0.5000  10 Au 2.76-2.94
Au 0.5287 0.2183 0.7903  1 Ga 2.61, 3 Au 2.79-2.85
Au 0.9685 0.6514 0.3513  9 Au 2.82-3.16, 1 Ga 3.06

Properties
The total energy is -3.607 eV/atom. The density of states at the Fermi level is 4.00 states/eV per cell. The calculation puts the calculated density at 15.53 g cm⁻³. Its space group is No. 12.

No. 5
# PrGaAu3

An optimized crystal structure of PrGaAu3 (GGA-PBE, the Alexandria database).

Cell: 4.9893 9.1398 9.2646 Å, 90.00 90.00 90.00°
With the nearest neighbours (Å) after each atom.
Fractional positions:
Au 0.2500 0.3985 0.3529  3 Au 2.75-2.94, 2 Ga 3.04
Pr 0.2500 0.7371 0.4972  9 Au 3.11-3.41, 3 Ga 3.27-3.36
Au 0.7500 0.6129 0.3344  2 Ga 2.51-2.61
Ga 0.7500 0.3985 0.1657  3 Au 2.51-2.61
Au 0.2500 0.0784 0.3850  1 Ga 2.61, 1 Au 2.75
Au 0.2500 0.3871 0.6656  2 Ga 2.51-2.61
Au 0.7500 0.4216 0.8850  1 Ga 2.61, 1 Au 2.75
Ga 0.2500 0.6015 0.8343  3 Au 2.51-2.61
Au 0.2500 0.8871 0.8344  2 Ga 2.51-2.61
Ga 0.7500 0.8985 0.3343  3 Au 2.51-2.61
Ga 0.2500 0.1015 0.6657  3 Au 2.51-2.61
Au 0.7500 0.9216 0.6150  1 Ga 2.61, 1 Au 2.75
Au 0.7500 0.1129 0.1656  2 Ga 2.51-2.61
Pr 0.7500 0.7629 0.9972  9 Au 3.11-3.41, 3 Ga 3.27-3.36
Au 0.2500 0.5784 0.1150  1 Ga 2.61, 1 Au 2.75
Au 0.7500 0.1015 0.8529  3 Au 2.75-2.94, 2 Ga 3.04
Au 0.2500 0.8985 0.1471  3 Au 2.75-2.94, 2 Ga 3.04
Pr 0.2500 0.2371 0.0028  9 Au 3.11-3.41, 3 Ga 3.27-3.36
Au 0.7500 0.6015 0.6471  3 Au 2.75-2.94, 2 Ga 3.04
Pr 0.7500 0.2629 0.5028  9 Au 3.11-3.41, 3 Ga 3.27-3.36

Properties
The total energy is -4.126 eV/atom. The energy above the most stable polymorph in this dataset is 0 kJ/mol of formula units. The density of states at the Fermi level is 9.82 states/eV per cell. The calculation puts the calculated density at 12.60 g cm⁻³. Its space group is No. 62.

No. 6
# Pr2GaAu3

An optimized crystal structure of Pr2GaAu3 (GGA-PBE, the Alexandria database).

Cell: 3.6969 4.6698 8.1942 Å, 90.00 90.00 90.00°
With the nearest neighbours (Å) after each atom.
Fractional positions:
Pr 0.0000 0.0000 0.5082  8 Au 3.19-3.29, 4 Ga 3.33
Au 0.5000 0.0000 0.1831  2 Ga 2.61, 1 Au 2.81
Au 0.5000 0.0000 0.8408  3 Au 2.81
Ga 0.5000 0.5000 0.3267  3 Au 2.61-2.64
Au 0.5000 0.5000 0.6489  1 Ga 2.64, 2 Au 2.81
Pr 0.0000 0.5000 0.9923  10 Au 3.23-3.37, 2 Ga 3.30

Properties
The total energy is -4.510 eV/atom. The energy above the most stable polymorph in this dataset is 0 kJ/mol of formula units. The density of states at the Fermi level is 3.41 states/eV per cell. The calculation puts the calculated density at 11.06 g cm⁻³. Its space group is No. 25.

No. 7
# PrGa2Au

An optimized crystal structure of PrGa2Au (GGA-PBE, the Alexandria database).

Cell: 4.4354 4.4290 4.4290 Å, 90.00 90.00 90.00°
With the nearest neighbours (Å) after each atom.
Fractional positions:
Au 0.5000 0.0000 0.0000  4 Pr 3.13, 8 Ga 3.13
Pr 0.5000 0.5000 0.5000  4 Au 3.13, 8 Ga 3.13
Ga 0.0000 0.5000 0.0000  4 Ga 3.13, 4 Au 3.13, 4 Pr 3.13
Ga 0.0000 0.0000 0.5000  4 Ga 3.13, 4 Pr 3.13, 4 Au 3.13

Properties
The total energy is -4.036 eV/atom. The density of states at the Fermi level is 1.92 states/eV per cell. The calculation puts the calculated density at 9.11 g cm⁻³. Its space group is No. 123.

No. 8
# Pr8GaAu2

An optimized crystal structure of Pr8GaAu2 (GGA-PBE, the Alexandria database).

Cell: 5.6046 8.4861 8.4861 Å, 116.09 99.55 99.55°
With the nearest neighbours (Å) after each atom.
Fractional positions:
Au 0.5000 0.6926 0.3136  8 Pr 3.03-3.28
Pr 0.5813 0.3148 0.0852  2 Au 3.09-3.28, 2 Pr 3.31-3.37
Pr 0.4179 0.9209 0.6910  2 Au 3.09-3.28, 2 Pr 3.31-3.37
Au 0.5000 0.3136 0.6926  8 Pr 3.03-3.28
Pr 0.9997 0.2328 0.7728  2 Au 3.03, 1 Ga 3.31
Pr 0.4179 0.6910 0.9209  2 Au 3.09-3.28, 2 Pr 3.31-3.37
Pr 0.8135 0.6186 0.6186  2 Au 3.24, 1 Ga 3.28, 4 Pr 3.37-3.58
Ga 0.0020 0.0035 0.0035  8 Pr 3.28-3.60
Pr 0.5813 0.0852 0.3148  2 Au 3.09-3.28, 2 Pr 3.31-3.37
Pr 0.1864 0.3882 0.3882  2 Au 3.23, 1 Ga 3.28, 4 Pr 3.37-3.58
Pr 0.9997 0.7728 0.2328  2 Au 3.03, 1 Ga 3.31

Properties
The total energy is -4.610 eV/atom. The energy above the most stable polymorph in this dataset is 108 kJ/mol of formula units. The density of states at the Fermi level is 16.12 states/eV per cell. The calculation puts the calculated density at 7.67 g cm⁻³. Its space group is No. 8.

no.,E_form (eV per atom),magnetization (μB per formula unit)
1,-0.6130,0.00
2,-0.3628,0.00
3,-0.2632,0.00
4,-0.2336,0.00
5,-0.5984,0.00
6,-0.7738,0.00
7,-0.5082,0.00
8,-0.2625,0.00